Computed, not measured: a relaxed structure of Li2Hg2Cl at the PBE-GGA level of DFT.

The structure belongs to space group P4/mbm (No. 127); the cell edges are 6.737, 6.737 and 5.182 Å and the angles 90.00°, 90.00° and 90.00°. The asymmetric unit holds Li at (0.186, 0.314, 0.000), Hg at (0.158, 0.658, 0.500) and Cl at (0.000, 0.000, 0.000).

The electronic total energy is -18.8 eV/cell. The value obtained for the density of states at the Fermi level is 4.98 states/eV/cell. The calculated volume is 23.517 Å³/atom.